GGA-PBEsol CoTe2Rh, optimized geometry; ΔE_f (raw) = 0.072 eV per atom; space group = No. 123
1.0
-1.0631 2.5950 2.4840
-1.3954 -2.6851 2.2078
4.6612 -0.4215 2.4353
Te Rh Co
2 1 1
Direct
0.0000 0.0000 0.0000
0.5000 0.5000 0.5000
0.0000 0.0000 0.5000
0.5000 0.5000 0.0000

---

GGA-PBEsol PSe3, optimized geometry; ΔE_f (raw) = 0.244 eV per atom; space group = No. 44; offset from the most stable computed form = 107.2 meV per atom
1.0
3.3641 0.0000 0.0000
1.6821 5.1509 -0.4314
1.6821 0.7843 5.1090
Se P
3 1
Direct
0.6354 0.6405 0.0887
0.6354 0.0887 0.6405
0.0485 0.4515 0.4515
0.0140 0.9860 0.9860

---

GGA-PBEsol HCl, optimized geometry; final energy = -3.166 eV per atom; space group = No. 36
1.0
3.8671 0.1602 0.0000
-0.8715 3.7711 0.0000
0.0000 0.0000 4.9331
Cl H
2 2
Direct
0.2307 0.2307 0.5143
0.7693 0.7693 0.0143
0.0455 0.0455 0.3157
0.9545 0.9545 0.8157

---

GGA-PBEsol BePt, optimized geometry; ΔH_f (0 K) = -0.14 eV/atom; space group = No. 166
1.0
4.0151 -0.0449 -0.0326
1.7549 3.6116 -0.0326
1.7549 1.0848 3.4450
Be Pt
2 2
Direct
0.1166 0.1166 0.1166
0.8834 0.8834 0.8834
0.3580 0.3580 0.3580
0.6420 0.6420 0.6420

---

GGA-PBEsol KBaRh2, optimized geometry; ΔH_f (0 K) = 0.69 eV/atom; space group = No. 123; offset from the most stable computed form = 475.5 meV per atom
1.0
-0.9204 -4.2722 0.1853
2.3304 -0.6600 -3.6424
3.7836 -0.7045 2.5484
Ba K Rh
1 1 2
Direct
0.5000 0.5000 0.5000
0.0000 0.0000 0.5000
0.5000 0.0000 0.0000
0.0000 0.5000 0.0000

---

GGA-PBEsol Zr2AlAu, optimized geometry; ΔH_f (0 K) = -0.51 eV/atom; space group = No. 139
1.0
4.2288 0.0000 0.0000
0.0000 4.2288 0.0000
-2.1144 -2.1144 4.1720
Al Zr Au
1 2 1
Direct
0.5000 0.5000 0.0000
0.2500 0.7500 0.5000
0.7500 0.2500 0.5000
0.0000 0.0000 0.0000

---

GGA-PBEsol TlZnMo2, optimized geometry; ΔH_f (0 K) = 0.43 eV/atom; space group = No. 160; offset from the most stable computed form = 107.9 meV per atom
1.0
-2.0446 2.3018 -0.0988
-2.1519 0.2437 2.1905
4.0970 5.9377 5.5300
Tl Mo Zn
1 2 1
Direct
0.4992 0.4992 0.5023
0.0056 0.0056 0.9832
0.7365 0.7365 0.7904
0.2586 0.2586 0.2241

---

GGA-PBEsol MnCdP2, optimized geometry; ΔH_f (0 K) = 0.21 eV/atom; space group = No. 160
1.0
-0.2223 -0.7546 -3.0166
-1.7140 -2.4541 -0.8707
-6.5682 3.2999 -1.9523
P Mn Cd
2 1 1
Direct
0.0023 0.0023 0.9931
0.7336 0.7336 0.7991
0.2638 0.2638 0.2086
0.5003 0.5003 0.4992

---

GGA-PBEsol Mg2CoMo, optimized geometry; ΔH_f (0 K) = 0.40 eV/atom; space group = No. 71; offset from the most stable computed form = 96.6 meV per atom
1.0
2.8188 0.0000 0.0000
0.0000 4.5533 0.0000
-1.4094 -2.2767 4.6904
Mg Co Mo
2 1 1
Direct
0.2227 0.2227 0.4454
0.7773 0.7773 0.5546
0.5000 0.0000 0.0000
0.0000 0.5000 0.0000

---

GGA-PBEsol Cr2NiOs, optimized geometry; ΔH_f (0 K) = 0.21 eV/atom; space group = No. 166
1.0
-1.2405 2.1100 0.8468
-2.1860 0.7687 -1.1570
-5.5497 -3.7248 5.1121
Os Cr Ni
1 2 1
Direct
0.0000 0.0000 0.0000
0.7522 0.7522 0.7433
0.2478 0.2478 0.2567
0.5000 0.5000 0.5000

---

GGA-PBEsol AlFe2TcPd, optimized geometry; ΔH_f (0 K) = 1.26 eV/atom; space group = No. 123
1.0
-2.3192 -1.2268 3.3058
-3.0765 -1.2294 -2.6145
1.7526 -3.9127 -0.2225
Fe Pd Al Tc
2 1 1 1
Direct
0.0000 0.5000 0.0000
0.5000 0.0000 0.0000
0.0000 0.0000 0.5000
0.0000 0.0000 0.0000
0.5000 0.5000 0.5000

---

GGA-PBEsol LaAs2Pb, optimized geometry; ΔH_f (0 K) = -0.56 eV/atom; space group = No. 225; offset from the most stable computed form = 126.1 meV per atom
1.0
-0.1272 -4.6497 2.2931
3.8241 -1.4167 3.2037
-0.8852 -0.3538 5.0976
La Pb As
1 1 2
Direct
0.0000 0.0000 0.0000
0.5000 0.5000 0.5000
0.7500 0.7500 0.7500
0.2500 0.2500 0.2500